Entry 1:
The following is a PBE-GGA calculation of an optimized crystal structure of Rb4HgF, from Alexandria via LeMat-Bulk.

Computed properties:
* symmetry: Pmn2_1, No. 31
* formation energy from raw total energies: -5.466 eV per formula unit
* magnetization: 0.000 μB per atom
* Fermi-level density of states: 0.6189 states/eV per atom

Cell and atoms, written as extended XYZ:
```
12
Lattice="11.6928 0.0000 0.0000 0.0000 8.9694 0.0000 0.0000 0.0000 5.8519" Properties=species:S:1:pos:R:3 pbc="T T T"
Rb 0.0000 0.9201 0.0016
Rb 0.0000 7.2294 2.9260
Rb 2.1193 2.8832 2.9256
Rb 3.7272 6.0862 5.8516
Rb 5.8464 1.7401 0.0000
Rb 5.8464 8.0493 2.9276
Rb 7.9657 6.0862 5.8516
Rb 9.5736 2.8832 2.9256
Hg 0.0000 4.6973 5.8472
Hg 5.8464 4.2721 2.9213
F 0.0000 1.0540 2.9211
F 5.8464 7.9154 5.8470
```

=====

Entry 2:
The following is a PBE-GGA calculation of an optimized crystal structure of ThPaC, from Alexandria via LeMat-Bulk.

Computed properties:
* symmetry: F-43m, No. 216
* energy relative to the elements: 380 meV/atom
* magnetization: 0.000 μB per atom
* ΔE to the lowest computed polymorph: 506.6 meV/atom
* Fermi-level density of states: 1.7526 states/eV per atom

Cell and atoms, written as extended XYZ:
```
3
Lattice="0.0000 3.0920 3.0920 3.0920 0.0000 3.0920 3.0920 3.0920 0.0000" Properties=species:S:1:pos:R:3 pbc="T T T"
Th 0.0000 0.0000 0.0000
Pa 3.0920 3.0920 3.0920
C 4.6380 4.6380 4.6380
```

=====

Entry 3:
The following is a PBE-GGA calculation of an optimized crystal structure of PmTm3Se6, from Alexandria via LeMat-Bulk.

Computed properties:
* symmetry: Cmmm, No. 65
* formation energy from raw total energies: -15.835 eV per formula unit
* magnetization: 0.004 μB per atom
* ΔE to the lowest computed polymorph: 289.0 meV/atom
* Fermi-level density of states: 0.2152 states/eV per atom

Cell and atoms, written as extended XYZ:
```
10
Lattice="4.9584 -7.0557 0.0000 4.9584 7.0557 0.0000 0.0000 0.0000 4.3149" Properties=species:S:1:pos:R:3 pbc="T T T"
Pm 0.0000 0.0000 0.0000
Tm 2.4792 3.5279 2.1574
Tm 2.4792 -3.5279 2.1574
Tm 4.9584 0.0000 0.0000
Se 4.9584 4.9654 2.1574
Se 2.9278 1.7620 0.0000
Se 2.9278 -1.7620 0.0000
Se 6.9891 1.7620 0.0000
Se 6.9891 -1.7620 0.0000
Se 4.9584 -4.9654 2.1574
```

=====

Entry 4:
The following is a PBE-GGA calculation of an optimized crystal structure of Rb2NaZnCl6, from Alexandria via LeMat-Bulk.

Computed properties:
* symmetry: I4/mmm, No. 139
* formation energy from raw total energies: -13.310 eV per formula unit
* magnetization: 0.000 μB per atom
* Fermi-level density of states: 1.4814 states/eV per atom

Cell and atoms, written as extended XYZ:
```
10
Lattice="-3.8203 3.8203 4.5469 3.8203 -3.8203 4.5469 3.8203 3.8203 -4.5469" Properties=species:S:1:pos:R:3 pbc="T T T"
Rb 3.8203 0.0000 2.2735
Rb 0.0000 3.8203 2.2735
Na 0.0000 0.0000 0.0000
Zn 0.0000 0.0000 4.5469
Cl 1.9891 1.9891 0.0000
Cl 1.8313 -1.8313 4.5469
Cl 0.0000 0.0000 2.3781
Cl 0.0000 0.0000 6.7157
Cl -1.8313 1.8313 4.5469
Cl 1.8313 1.8313 4.5469
```